[1]
# PBE-GGA Pr2MgSb3Pt4, optimized geometry
data_Pr2MgSb3Pt4
_symmetry_space_group_name_H-M 'P -4 m 2'
_symmetry_Int_Tables_number 115
_symmetry_space_group_name_Hall 'P -4 -2'
_cell_length_a 4.5093
_cell_length_b 4.5093
_cell_length_c 11.0152
_cell_angle_alpha 90.00
_cell_angle_beta 90.00
_cell_angle_gamma 90.00
loop_
_atom_site_label
_atom_site_type_symbol
_atom_site_fract_x
_atom_site_fract_y
_atom_site_fract_z
Pr1 Pr 0.0000 0.5000 0.2335
Mg1 Mg 0.0000 0.0000 0.5000
Sb1 Sb 0.0000 0.5000 0.8660
Sb2 Sb 0.5000 0.5000 0.5000
Pt1 Pt 0.0000 0.0000 0.0000
Pt2 Pt 0.0000 0.5000 0.6312
Pt3 Pt 0.5000 0.5000 0.0000
# **Size of the total moment**: 0.00 μB/cell
# **DOS(E_F)**: 0.46 states/eV per atom
# **E_form (uncorrected)**: -0.899 eV per atom
# **Mass density**: 10.76 Mg/m³
# **VASP energy**: -5.667 eV/atom

***

[2]
# PBE-GGA PrMgSi2Pt5, optimized geometry
data_PrMgSi2Pt5
_symmetry_space_group_name_H-M 'P 4/m m m'
_symmetry_Int_Tables_number 123
_symmetry_space_group_name_Hall '-P 4 2'
_cell_length_a 4.1047
_cell_length_b 4.1047
_cell_length_c 10.5972
_cell_angle_alpha 90.00
_cell_angle_beta 90.00
_cell_angle_gamma 90.00
loop_
_atom_site_label
_atom_site_type_symbol
_atom_site_fract_x
_atom_site_fract_y
_atom_site_fract_z
Pr1 Pr 0.0000 0.0000 0.0000
Mg1 Mg 0.0000 0.0000 0.5000
Si1 Si 0.5000 0.5000 0.2221
Pt1 Pt 0.0000 0.5000 0.3313
Pt2 Pt 0.5000 0.5000 0.0000
# **Size of the total moment**: 0.00 μB/cell
# **DOS(E_F)**: 0.32 states/eV per atom
# **E_form (uncorrected)**: -0.777 eV per atom
# **Mass density**: 11.13 Mg/m³
# **VASP energy**: -6.046 eV/atom

***

[3]
# PBE-GGA PrMg2Si2Pt, optimized geometry
data_PrMg2Si2Pt
_symmetry_space_group_name_H-M 'I 4/m m m'
_symmetry_Int_Tables_number 139
_symmetry_space_group_name_Hall '-I 4 2'
_cell_length_a 5.1040
_cell_length_b 5.1040
_cell_length_c 10.8115
_cell_angle_alpha 90.00
_cell_angle_beta 90.00
_cell_angle_gamma 90.00
loop_
_atom_site_label
_atom_site_type_symbol
_atom_site_fract_x
_atom_site_fract_y
_atom_site_fract_z
Pr1 Pr 0.0000 0.0000 0.0000
Mg1 Mg 0.0000 0.5000 0.2500
Si1 Si 0.0000 0.0000 0.2885
Pt1 Pt 0.0000 0.0000 0.5000
# **Size of the total moment**: 0.00 μB/cell
# **DOS(E_F)**: 0.40 states/eV per atom
# **E_form (uncorrected)**: -0.133 eV per atom
# **Mass density**: 5.20 Mg/m³
# **VASP energy**: -4.275 eV/atom

***

[4]
# PBE-GGA PrMg2SiPt2, optimized geometry
data_PrMg2SiPt2
_symmetry_space_group_name_H-M 'I 4/m m m'
_symmetry_Int_Tables_number 139
_symmetry_space_group_name_Hall '-I 4 2'
_cell_length_a 5.0912
_cell_length_b 5.0912
_cell_length_c 10.6944
_cell_angle_alpha 90.00
_cell_angle_beta 90.00
_cell_angle_gamma 90.00
loop_
_atom_site_label
_atom_site_type_symbol
_atom_site_fract_x
_atom_site_fract_y
_atom_site_fract_z
Pr1 Pr 0.0000 0.0000 0.0000
Mg1 Mg 0.0000 0.5000 0.2500
Si1 Si 0.0000 0.0000 0.5000
Pt1 Pt 0.0000 0.0000 0.2891
# **Size of the total moment**: 0.00 μB/cell
# **DOS(E_F)**: 0.65 states/eV per atom
# **E_form (uncorrected)**: -0.529 eV per atom
# **Mass density**: 7.28 Mg/m³
# **VASP energy**: -4.775 eV/atom

***

Look up the E_form (uncorrected) of the first one. -0.899 eV per atom

***

Which of these has the highest mass density? PrMgSi2Pt5